No. 1
VASP calculation (GGA-PBE) on Cd2AgSn after structural relaxation.

Formation energy from the elements (eV per atom): 0.04

a b c (Å): 5.589 3.224 10.128
angles (deg): 90.00 90.10 90.00
Fractional positions:
Cd: 0.167 0.000 0.226
Cd: 0.333 0.500 0.774
Cd: 0.667 0.500 0.226
Cd: 0.833 0.000 0.774
Ag: 0.000 0.500 0.000
Ag: 0.500 0.000 0.000
Sn: 0.000 0.500 0.500
Sn: 0.500 0.000 0.500

---

No. 2
VASP calculation (GGA-PBE) on AcPmSnRh after structural relaxation.

Offset from the most stable computed form (eV/atom): 0.020
Formation energy from the elements (eV per atom): -0.48

a b c (Å): 7.641 7.641 7.641
angles (deg): 90.00 90.00 90.00
Fractional positions:
Ac: 0.000 0.000 0.000
Ac: 0.000 0.500 0.500
Ac: 0.500 0.000 0.500
Ac: 0.500 0.500 0.000
Pm: 0.000 0.000 0.500
Pm: 0.000 0.500 0.000
Pm: 0.500 0.000 0.000
Pm: 0.500 0.500 0.500
Sn: 0.250 0.250 0.250
Sn: 0.250 0.750 0.750
Sn: 0.750 0.250 0.750
Sn: 0.750 0.750 0.250
Rh: 0.250 0.250 0.750
Rh: 0.250 0.750 0.250
Rh: 0.750 0.250 0.250
Rh: 0.750 0.750 0.750

---

No. 3
VASP calculation (GGA-PBE) on HgTeCl2 after structural relaxation.

Offset from the most stable computed form (eV/atom): 0.091

a b c (Å): 3.856 8.798 9.048
angles (deg): 90.00 90.00 90.00
Fractional positions:
Hg: 0.000 0.000 0.000
Hg: 0.500 0.500 0.000
Te: 0.000 0.500 0.768
Te: 0.500 0.000 0.768
Cl: 0.000 0.000 0.564
Cl: 0.000 0.500 0.192
Cl: 0.500 0.000 0.192
Cl: 0.500 0.500 0.564

---

No. 4
VASP calculation (GGA-PBE) on TcHg after structural relaxation.

Offset from the most stable computed form (eV/atom): 0.486
Formation energy from the elements (eV per atom): 0.73

a b c (Å): 2.932 2.932 14.152
angles (deg): 90.00 90.00 120.00
Fractional positions:
Tc: 0.000 0.000 0.000
Tc: 0.333 0.667 0.667
Tc: 0.667 0.333 0.333
Hg: 0.000 0.000 0.500
Hg: 0.333 0.667 0.167
Hg: 0.667 0.333 0.833